ScTePb2O6 | GGA-PBE | relaxed

Properties
Space-group type: No. 14
Formation energy (no corrections) in eV/atom: -1.623

Cell: 5.8499 5.8646 8.2713 Å, 90.00 89.99 90.00°
Last column: nearest neighbours and their distance in Å.
Fractional positions:
Sc  0.5000  0.0000  0.0000  6 O 2.13
Sc  0.0000  0.5000  0.5000  6 O 2.13
Te  0.5000  0.0000  0.5000  6 O 2.08
Te  0.0000  0.5000  0.0000  6 O 2.08
Pb  0.0063  0.9777  0.2493  6 O 2.58-2.84
Pb  0.5063  0.5223  0.7493  6 O 2.58-2.84
Pb  0.9937  0.0223  0.7507  6 O 2.58-2.84
Pb  0.4937  0.4777  0.2507  6 O 2.58-2.84
O  0.2770  0.7172  0.0351  1 Te 2.08, 1 Sc 2.13
O  0.7770  0.7828  0.5351  1 Te 2.08, 1 Sc 2.13
O  0.7230  0.2828  0.9649  1 Te 2.08, 1 Sc 2.13
O  0.2230  0.2172  0.4649  1 Te 2.08, 1 Sc 2.13
O  0.2845  0.7225  0.4650  1 Te 2.08, 1 Sc 2.13
O  0.7845  0.7775  0.9650  1 Te 2.08, 1 Sc 2.13
O  0.7155  0.2775  0.5350  1 Te 2.08, 1 Sc 2.13
O  0.2155  0.2225  0.0350  1 Te 2.08, 1 Sc 2.13
O  0.9340  0.5123  0.2468  1 Te 2.08, 1 Sc 2.13
O  0.4340  0.9877  0.7468  1 Te 2.08, 1 Sc 2.13
O  0.0660  0.4877  0.7532  1 Te 2.08, 1 Sc 2.13
O  0.5660  0.0123  0.2532  1 Te 2.08, 1 Sc 2.13

=====

Zr2BeIr | GGA-PBE | relaxed

Properties
Formation enthalpy at 0 K in eV/atom: -0.372
Space-group type: No. 160

Cell: 5.6020 5.6020 5.6020 Å, 43.02 43.02 43.02°
Last column: nearest neighbours and their distance in Å.
Fractional positions:
Be  0.4516  0.4516  0.4516  3 Ir 2.38
Ir  0.7987  0.7987  0.7987  3 Be 2.38
Zr  0.0290  0.0290  0.0290  3 Be 2.73, 3 Ir 2.84, 1 Zr 2.92
Zr  0.2207  0.2207  0.2207  3 Ir 2.73, 3 Be 2.84, 1 Zr 2.92

=====

PmTiGe3 | GGA-PBE | relaxed

Properties
Formation enthalpy at 0 K in eV/atom: -0.433
Space-group type: No. 15

Cell: 5.6234 8.7137 8.7137 Å, 102.05 91.03 91.03°
Last column: nearest neighbours and their distance in Å.
Fractional positions:
Pm  0.5027  0.5939  0.7762  8 Ge 2.98-3.22
Pm  0.9973  0.2238  0.4061  8 Ge 2.98-3.22
Pm  0.4973  0.4061  0.2238  8 Ge 2.98-3.22
Pm  0.0027  0.7762  0.5939  8 Ge 2.98-3.22
Ti  0.7500  0.9660  0.0340  6 Ge 2.64-2.77, 2 Ti 2.96
Ti  0.2500  0.0340  0.9660  6 Ge 2.64-2.77, 2 Ti 2.96
Ti  0.7500  0.2111  0.7889  4 Ge 2.63-2.68
Ti  0.2500  0.7889  0.2111  4 Ge 2.63-2.68
Ge  0.0610  0.7478  0.9271  2 Ge 2.60-2.71, 3 Ti 2.63-2.65
Ge  0.4390  0.0729  0.2522  2 Ge 2.60-2.71, 3 Ti 2.63-2.65
Ge  0.9390  0.2522  0.0729  2 Ge 2.60-2.71, 3 Ti 2.63-2.65
Ge  0.5611  0.9271  0.7478  2 Ge 2.60-2.71, 3 Ti 2.63-2.65
Ge  0.2748  0.3315  0.9007  3 Ge 2.55-2.60, 1 Ti 2.77
Ge  0.2252  0.0993  0.6685  3 Ge 2.55-2.60, 1 Ti 2.77
Ge  0.7252  0.6685  0.0993  3 Ge 2.55-2.60, 1 Ti 2.77
Ge  0.7748  0.9007  0.3315  3 Ge 2.55-2.60, 1 Ti 2.77
Ge  0.9898  0.4624  0.7340  2 Ge 2.58-2.71, 1 Ti 2.68
Ge  0.5102  0.2660  0.5376  2 Ge 2.58-2.71, 1 Ti 2.68
Ge  0.0102  0.5376  0.2660  2 Ge 2.58-2.71, 1 Ti 2.68
Ge  0.4898  0.7340  0.4624  2 Ge 2.58-2.71, 1 Ti 2.68

=====

Pm4Ge2I | GGA-PBE | relaxed

Properties
Space-group type: No. 122
Formation energy (no corrections) in eV/atom: -0.796

Cell: 7.9631 7.9631 7.9631 Å, 109.43 109.56 109.43°
Last column: nearest neighbours and their distance in Å.
Fractional positions:
I  0.0000  0.0000  0.0000  8 Pm 3.13-3.41
I  0.7500  0.5000  0.2500  8 Pm 3.13-3.41
Ge  0.8750  0.1147  0.4897  6 Pm 2.94-3.30
Ge  0.5103  0.3853  0.6250  6 Pm 2.94-3.30
Ge  0.3750  0.8853  0.7603  6 Pm 2.94-3.30
Ge  0.2397  0.6147  0.1250  6 Pm 2.94-3.30
Pm  0.1447  0.8981  0.3926  3 Ge 2.94-3.30, 1 I 3.13
Pm  0.6074  0.7521  0.5055  3 Ge 2.94-3.30, 1 I 3.13
Pm  0.9966  0.6019  0.7445  3 Ge 2.94-3.30, 1 I 3.13
Pm  0.2555  0.2521  0.8574  3 Ge 2.94-3.30, 1 I 3.13
Pm  0.6053  0.7479  0.0034  3 Ge 2.94-3.30, 1 I 3.13
Pm  0.7534  0.2479  0.8553  3 Ge 2.94-3.30, 1 I 3.13
Pm  0.4945  0.1019  0.2466  3 Ge 2.94-3.30, 1 I 3.13
Pm  0.1426  0.3981  0.3947  3 Ge 2.94-3.30, 1 I 3.13

=====

SmBi | GGA-PBE | relaxed

Properties
Formation enthalpy at 0 K in eV/atom: -0.806
Space-group type: No. 194

Cell: 4.6035 7.3192 7.9751 Å, 90.00 90.00 90.00°
Last column: nearest neighbours and their distance in Å.
Fractional positions:
Sm  0.7500  0.7500  0.0833  6 Bi 3.23
Sm  0.2500  0.7500  0.5833  6 Bi 3.23
Sm  0.2500  0.2500  0.9167  6 Bi 3.23
Sm  0.7500  0.2500  0.4167  6 Bi 3.23
Bi  0.7500  0.0000  0.7500  6 Sm 3.23
Bi  0.2500  0.5000  0.2500  6 Sm 3.23
Bi  0.2500  0.0000  0.2500  6 Sm 3.23
Bi  0.7500  0.5000  0.7500  6 Sm 3.23

=====

MnAlCd2 | GGA-PBE | relaxed

Properties
Formation enthalpy at 0 K in eV/atom: 0.213
Space-group type: No. 119

Cell: 5.1484 5.1484 5.1484 Å, 132.59 132.59 69.30°
Last column: nearest neighbours and their distance in Å.
Fractional positions:
Mn  0.5000  0.5000  0.0000  8 Cd 2.93-2.96, 4 Al 2.96
Al  0.7500  0.2500  0.5000  8 Cd 2.93-2.96, 4 Mn 2.96
Cd  0.0000  0.0000  0.0000  4 Mn 2.93, 4 Cd 2.96, 4 Al 2.96
Cd  0.2500  0.7500  0.5000  4 Al 2.93, 4 Mn 2.96, 4 Cd 2.96

=====

In order of appearance, total DFT energy (no corrections) = -62.9; -31.2; -28.7; -35.4; -10.2; -13.9 eV per formula unit.